# FeN2F

A relaxed FeN2F crystal (PBE+U, the Alexandria database).

Output
**Energy relative to the lowest polymorph listed for this composition**: 437 meV/atom
**Theoretical density**: 3.7 g cm⁻³
**Energy**: -4.739 eV per atom

abc: 4.844 4.844 7.957
angles: 90.00 90.00 90.00
Space group I-42d (No. 122)
Asymmetric unit:
Fe 0.000 0.000 0.000 [4 per cell]
N 0.129 0.250 0.125 [8 per cell]
F 0.000 0.000 0.500 [4 per cell]